(1)
The following is a DFT calculation (SCAN) of a PBEsol-optimized structure of Sr3Sn3Au8.

Computed properties:
* energy relative to the lowest polymorph listed for this composition: 0.0 meV per atom
* ΔH_f (0 K): -676 meV per atom
* E: -52.665 eV per atom
* total magnetic moment: 0.00 μB per formula unit

```
Sr3Sn3Au8
1.0
-0.261 -0.040 -4.639
6.513 -7.025 -0.306
-10.313 -9.589 0.663
Sr Sn Au
6 6 16
direct
0.500 0.505 0.305
0.500 0.495 0.695
0.000 0.005 0.195
0.000 0.995 0.805
0.500 0.500 0.000
0.000 0.000 0.500
0.500 0.155 0.326
0.500 0.845 0.674
0.000 0.655 0.174
0.000 0.345 0.826
0.000 0.500 0.500
0.500 0.000 0.000
0.500 0.701 0.498
0.500 0.299 0.502
0.000 0.201 0.002
0.000 0.799 0.998
0.500 0.781 0.128
0.500 0.219 0.872
0.000 0.281 0.372
0.000 0.719 0.628
0.500 0.780 0.867
0.500 0.220 0.133
0.000 0.280 0.633
0.000 0.720 0.367
0.500 0.875 0.338
0.500 0.125 0.662
0.000 0.375 0.162
0.000 0.625 0.838
```


(2)
The following is a DFT calculation (SCAN) of a PBEsol-optimized structure of CaScSCl2.

Computed properties:
* E: -11.248 eV per atom
* formation energy (no corrections): -1.351 eV per atom
* total magnetic moment: 1.00 μB per formula unit

```
CaScSCl2
1.0
4.969 0.000 0.000
0.000 4.969 0.000
0.000 0.000 5.383
Sc Ca S Cl
1 1 1 2
direct
0.500 0.500 0.500
0.000 0.000 0.000
0.000 0.000 0.500
0.000 0.500 0.000
0.500 0.000 0.000
```


(3)
The following is a DFT calculation (SCAN) of a PBEsol-optimized structure of CaSb4Ir.

Computed properties:
* E: -37.776 eV per atom
* formation energy (no corrections): 0.525 eV per atom
* total magnetic moment: 0.92 μB per formula unit

```
CaSb4Ir
1.0
6.003 0.000 0.000
3.001 5.199 0.000
3.001 1.733 4.901
Sb Ca Ir
4 1 1
direct
0.374 0.374 0.374
0.374 0.374 0.877
0.877 0.374 0.374
0.374 0.877 0.374
0.750 0.750 0.750
0.000 0.000 0.000
```


(4)
The following is a DFT calculation (SCAN) of a PBEsol-optimized structure of CoRh.

Computed properties:
* ΔH_f (0 K): 58 meV per atom
* E: -25.480 eV per atom
* total magnetic moment: 2.66 μB per formula unit

```
CoRh
1.0
2.609 0.000 0.000
0.000 2.609 0.000
0.000 0.000 10.584
Rh Co
3 3
direct
0.000 0.000 0.671
0.000 0.000 0.339
0.500 0.500 0.157
0.000 0.000 0.988
0.500 0.500 0.841
0.500 0.500 0.505
```


(5)
The following is a DFT calculation (SCAN) of a PBEsol-optimized structure of CuAsPt2.

Computed properties:
* ΔH_f (0 K): -88 meV per atom
* E: -44.032 eV per atom
* total magnetic moment: 0.00 μB per formula unit

```
CuAsPt2
1.0
-3.439 1.430 0.394
0.326 -0.293 3.906
1.522 3.621 0.145
As Pt Cu
1 2 1
direct
0.500 0.500 0.500
0.000 0.000 0.500
0.000 0.500 0.000
0.500 0.000 0.000
```


(6)
The following is a DFT calculation (SCAN) of a PBEsol-optimized structure of TaZnIr2.

Computed properties:
* ΔH_f (0 K): -682 meV per atom
* E: -56.257 eV per atom
* total magnetic moment: 0.00 μB per formula unit

```
TaZnIr2
1.0
4.065 0.000 0.000
-2.033 4.087 -0.002
0.000 2.023 3.526
Zn Ir Ta
1 2 1
direct
0.500 0.000 0.500
0.250 0.500 0.250
0.750 0.500 0.750
0.000 0.000 0.000
```


(7)
The following is a DFT calculation (SCAN) of a PBEsol-optimized structure of ZrP4W.

Computed properties:
* ΔH_f (0 K): 546 meV per atom
* E: -23.118 eV per atom
* total magnetic moment: 0.00 μB per formula unit

```
ZrP4W
1.0
4.968 0.000 0.000
2.484 4.303 0.000
2.484 1.434 4.056
P W Zr
4 1 1
direct
0.376 0.376 0.376
0.376 0.376 0.873
0.873 0.376 0.376
0.376 0.873 0.376
0.750 0.750 0.750
0.000 0.000 0.000
```


(8)
The following is a DFT calculation (SCAN) of a PBEsol-optimized structure of TaSb2P.

Computed properties:
* E: -37.487 eV per atom
* formation energy (no corrections): 0.389 eV per atom
* total magnetic moment: 0.00 μB per formula unit

```
TaSb2P
1.0
3.505 0.000 0.000
0.000 3.635 0.037
0.000 -1.079 6.230
P Sb Ta
1 2 1
direct
0.500 0.500 0.500
0.000 0.071 0.243
0.000 0.929 0.757
0.500 0.500 0.000
```


(9)
The following is a DFT calculation (SCAN) of a PBEsol-optimized structure of Co3RuF.

Computed properties:
* E: -17.795 eV per atom
* formation energy (no corrections): 0.260 eV per atom
* total magnetic moment: 8.00 μB per formula unit

```
Co3RuF
1.0
3.889 0.000 0.000
0.000 3.889 0.000
0.000 0.000 3.889
Ru Co F
1 3 1
direct
0.500 0.500 0.500
0.000 0.500 0.000
0.000 0.000 0.500
0.500 0.000 0.000
0.000 0.000 0.000
```


(10)
The following is a DFT calculation (SCAN) of a PBEsol-optimized structure of Cr3HAu.

Computed properties:
* energy relative to the lowest polymorph listed for this composition: 0.0 meV per atom
* E: -25.404 eV per atom
* total magnetic moment: 0.00 μB per formula unit

```
Cr3HAu
1.0
-1.696 2.550 2.124
2.090 -1.032 2.908
2.578 2.514 -0.960
Cr Au H
3 1 1
direct
0.000 0.500 0.000
0.000 0.000 0.500
0.500 0.000 0.000
0.500 0.500 0.500
0.000 0.000 0.000
```


(11)
The following is a DFT calculation (SCAN) of a PBEsol-optimized structure of YAl2.

Computed properties:
* ΔH_f (0 K): -569 meV per atom
* E: -15.018 eV per atom
* total magnetic moment: 0.00 μB per formula unit

```
YAl2
1.0
5.519 0.000 0.000
2.760 4.780 0.000
2.760 1.593 4.506
Y Al
2 4
direct
0.500 0.500 0.500
0.750 0.750 0.750
0.125 0.625 0.125
0.125 0.125 0.625
0.625 0.125 0.125
0.125 0.125 0.125
```


(12)
The following is a DFT calculation (SCAN) of a PBEsol-optimized structure of SmYHg2.

Computed properties:
* ΔH_f (0 K): -735 meV per atom
* E: -52.889 eV per atom
* total magnetic moment: 0.00 μB per formula unit

```
SmYHg2
1.0
5.222 0.000 0.000
2.611 4.522 0.000
2.611 1.507 4.263
Y Hg Sm
1 2 1
direct
0.000 0.000 0.000
0.250 0.250 0.250
0.750 0.750 0.750
0.500 0.500 0.500
```


Repeat the eleventh record exactly.
The following is a DFT calculation (SCAN) of a PBEsol-optimized structure of YAl2.

Computed properties:
* ΔH_f (0 K): -569 meV per atom
* E: -15.018 eV per atom
* total magnetic moment: 0.00 μB per formula unit

```
YAl2
1.0
5.519 0.000 0.000
2.760 4.780 0.000
2.760 1.593 4.506
Y Al
2 4
direct
0.500 0.500 0.500
0.750 0.750 0.750
0.125 0.625 0.125
0.125 0.125 0.625
0.625 0.125 0.125
0.125 0.125 0.125
```


- What is the formula in the ninth record?
  Co3RuF


- Which of these has the highest E?
  CaScSCl2